1.
# VGaP2O

Crystalline VGaP2O at its relaxed geometry (PBE+U, Alexandria).

For the energy above the most stable polymorph in this dataset, the calculation gives 0.0000 eV/atom. As for the magnetization: 0.0 μB per cell. Its raw total energy is -5.3210 eV per atom. The calculation puts the calculated density at 4.03 Mg/m³.

Structure (CIF):
```
data_VGaP2O
_chemical_formula_sum 'V1 Ga1 P2 O1'
_symmetry_space_group_name_H-M 'P 1'
_symmetry_Int_Tables_number 1
_cell_length_a 4.755
_cell_length_b 4.755
_cell_length_c 3.622
_cell_angle_alpha 90.00
_cell_angle_beta 90.00
_cell_angle_gamma 90.00
loop_
_symmetry_equiv_pos_as_xyz
'x,y,z'
loop_
_atom_site_label
_atom_site_type_symbol
_atom_site_fract_x
_atom_site_fract_y
_atom_site_fract_z
O1 O 0.000 0.000 0.500
Ga1 Ga 0.500 0.500 0.500
P1 P 0.500 0.000 0.000
P2 P 0.000 0.500 0.000
V1 V 0.000 0.000 0.000
```

2.
# VGaP2O

Crystalline VGaP2O at its relaxed geometry (PBE+U, Alexandria).

For the energy above the most stable polymorph in this dataset, the calculation gives 0.6935 eV/atom. As for the magnetization: 1.2 μB per cell. Its raw total energy is -4.6275 eV per atom. The calculation puts the calculated density at 3.86 Mg/m³.

Structure (CIF):
```
data_VGaP2O
_chemical_formula_sum 'V1 Ga1 P2 O1'
_symmetry_space_group_name_H-M 'P 1'
_symmetry_Int_Tables_number 1
_cell_length_a 4.934
_cell_length_b 4.934
_cell_length_c 3.506
_cell_angle_alpha 90.00
_cell_angle_beta 90.00
_cell_angle_gamma 90.00
loop_
_symmetry_equiv_pos_as_xyz
'x,y,z'
loop_
_atom_site_label
_atom_site_type_symbol
_atom_site_fract_x
_atom_site_fract_y
_atom_site_fract_z
O1 O 0.000 0.000 0.500
Ga1 Ga 0.000 0.000 0.000
P1 P 0.000 0.500 0.000
P2 P 0.500 0.000 0.000
V1 V 0.500 0.500 0.500
```

3.
# GaP2WO

Crystalline GaP2WO at its relaxed geometry (PBE+U, Alexandria).

For the energy above the most stable polymorph in this dataset, the calculation gives 0.6576 eV/atom. As for the magnetization: 2.7 μB per cell. Its raw total energy is -4.6411 eV per atom. The calculation puts the calculated density at 6.48 Mg/m³.

Structure (CIF):
```
data_GaP2WO
_chemical_formula_sum 'Ga1 P2 W1 O1'
_symmetry_space_group_name_H-M 'P 1'
_symmetry_Int_Tables_number 1
_cell_length_a 4.891
_cell_length_b 4.891
_cell_length_c 3.551
_cell_angle_alpha 90.00
_cell_angle_beta 90.00
_cell_angle_gamma 90.00
loop_
_symmetry_equiv_pos_as_xyz
'x,y,z'
loop_
_atom_site_label
_atom_site_type_symbol
_atom_site_fract_x
_atom_site_fract_y
_atom_site_fract_z
P1 P 0.000 0.500 0.000
P2 P 0.500 0.000 0.000
Ga1 Ga 0.000 0.000 0.000
O1 O 0.000 0.000 0.500
W1 W 0.500 0.500 0.500
```

4.
# GaP2WO

Crystalline GaP2WO at its relaxed geometry (PBE+U, Alexandria).

For the energy above the most stable polymorph in this dataset, the calculation gives 0.0000 eV/atom. As for the magnetization: 0.0 μB per cell. Its raw total energy is -5.2987 eV per atom. The calculation puts the calculated density at 6.07 Mg/m³.

Structure (CIF):
```
data_GaP2WO
_chemical_formula_sum 'Ga1 P2 W1 O1'
_symmetry_space_group_name_H-M 'P 1'
_symmetry_Int_Tables_number 1
_cell_length_a 4.865
_cell_length_b 4.865
_cell_length_c 3.835
_cell_angle_alpha 90.00
_cell_angle_beta 90.00
_cell_angle_gamma 90.00
loop_
_symmetry_equiv_pos_as_xyz
'x,y,z'
loop_
_atom_site_label
_atom_site_type_symbol
_atom_site_fract_x
_atom_site_fract_y
_atom_site_fract_z
Ga1 Ga 0.500 0.500 0.500
W1 W 0.000 0.000 0.000
P1 P 0.000 0.500 0.000
P2 P 0.500 0.000 0.000
O1 O 0.000 0.000 0.500
```